Record 1
AlTc2Se: single point on PBEsol structure, meta-GGA SCAN.

Geometry as extended XYZ:
```
4
Lattice="-2.000 2.000 3.681 2.000 -2.000 3.681 2.000 2.000 -3.681" Properties=species:S:1:pos:R:3 pbc="T T T"
Al 0.000 0.000 0.000
Tc 2.000 0.000 1.840
Tc 0.000 0.000 3.681
Se 0.000 2.000 1.840
```

Results
formation energy without anion corrections: 0.230 eV/atom
symmetry: I-4m2, No. 119

***

Record 2
Mo2RuBr: single point on PBEsol structure, meta-GGA SCAN.

Geometry as extended XYZ:
```
4
Lattice="4.570 0.000 0.000 0.000 4.570 0.000 0.000 0.000 2.868" Properties=species:S:1:pos:R:3 pbc="T T T"
Mo 0.000 2.285 0.000
Mo 2.285 0.000 0.000
Ru 0.000 0.000 1.434
Br 2.285 2.285 1.434
```

Results
formation energy without anion corrections: 0.780 eV/atom
symmetry: P4/mmm, No. 123

***

Record 3
NaV2O4: single point on PBEsol structure, meta-GGA SCAN.

Geometry as extended XYZ:
```
28
Lattice="5.707 0.000 0.000 0.000 11.418 0.000 0.000 0.000 4.946" Properties=species:S:1:pos:R:3 pbc="T T T"
Na 1.427 2.854 0.161
Na 1.427 8.563 1.748
Na 4.280 2.854 3.199
Na 4.280 8.563 4.785
V 0.000 0.000 2.473
V 0.000 5.709 2.473
V 1.427 5.792 4.928
V 1.427 11.335 4.928
V 2.853 0.000 2.473
V 2.853 5.709 2.473
V 4.280 0.083 0.019
V 4.280 5.626 0.019
O 0.016 1.080 4.125
O 0.016 4.629 4.125
O 1.427 1.011 1.619
O 1.427 4.698 1.619
O 1.427 6.788 3.271
O 1.427 10.339 3.271
O 2.837 1.080 4.125
O 2.837 4.629 4.125
O 2.870 6.789 0.821
O 2.870 10.338 0.821
O 4.280 1.079 1.675
O 4.280 4.630 1.675
O 4.280 6.720 3.328
O 4.280 10.407 3.328
O 5.690 6.789 0.821
O 5.690 10.338 0.821
```

Results
formation energy without anion corrections: -2.523 eV/atom
symmetry: Pmmn, No. 59

***

Record 4
BaY2GaAs: single point on PBEsol structure, meta-GGA SCAN.

Geometry as extended XYZ:
```
5
Lattice="5.404 0.000 0.000 0.000 5.404 0.000 0.000 0.000 5.367" Properties=species:S:1:pos:R:3 pbc="T T T"
Ba 0.000 0.000 0.000
Y 0.000 2.702 2.684
Y 2.702 0.000 2.684
Ga 2.702 2.702 2.684
As 2.702 2.702 0.000
```

Results
symmetry: P4/mmm, No. 123
ΔE_f: -0.0241 eV per atom

***

Record 5
ZrGeSe: single point on PBEsol structure, meta-GGA SCAN.

Geometry as extended XYZ:
```
6
Lattice="3.686 0.000 0.000 0.000 3.686 0.000 0.000 0.000 8.238" Properties=species:S:1:pos:R:3 pbc="T T T"
Zr 0.922 0.922 1.948
Zr 2.765 2.765 6.290
Ge 0.922 2.765 4.119
Ge 2.765 0.922 4.119
Se 0.922 0.922 7.250
Se 2.765 2.765 0.988
```

Results
formation energy without anion corrections: -1.171 eV/atom
symmetry: P4/nmm, No. 129

***

Record 6
Zr5Cu: single point on PBEsol structure, meta-GGA SCAN.

Geometry as extended XYZ:
```
6
Lattice="5.419 -1.583 0.000 5.419 1.583 0.000 -2.552 0.000 7.178" Properties=species:S:1:pos:R:3 pbc="T T T"
Zr 0.000 0.000 0.000
Zr -0.851 0.000 2.952
Zr 2.230 0.000 4.602
Zr 5.168 0.000 5.597
Zr 7.122 0.000 2.003
Cu 3.258 0.000 0.428
```

Results
symmetry: Cm, No. 8
ΔE_f: -0.0205 eV per atom

***

Record 7
Be2AlAg: single point on PBEsol structure, meta-GGA SCAN.

Geometry as extended XYZ:
```
4
Lattice="1.367 0.789 7.917 -1.367 0.789 7.917 0.000 -1.578 7.917" Properties=species:S:1:pos:R:3 pbc="T T T"
Be 0.000 0.000 5.925
Be 0.000 0.000 17.825
Al 0.000 0.000 0.000
Ag 0.000 0.000 11.875
```

Results
symmetry: R-3m, No. 166
ΔE_f: 0.2192 eV per atom

***

Record 8
Sm2ScTaO7: single point on PBEsol structure, meta-GGA SCAN.

Geometry as extended XYZ:
```
22
Lattice="-3.654 3.726 5.211 3.654 -3.726 5.211 3.654 3.726 -5.211" Properties=species:S:1:pos:R:3 pbc="T T T"
Sm 0.000 0.000 0.000
Sm -1.827 1.863 2.606
Sm 0.000 3.726 0.000
Sm 1.827 1.863 2.606
Sc 1.827 1.863 -2.606
Sc 1.827 -1.863 2.606
Ta 3.654 0.000 0.000
Ta 0.000 0.000 5.211
O 2.190 -0.237 1.305
O 5.117 -0.237 1.305
O 3.654 -1.863 3.613
O 3.654 1.863 0.709
O 2.190 3.488 -1.305
O 1.463 -0.237 3.906
O 0.000 1.863 1.330
O 3.654 1.863 3.881
O 2.190 3.963 1.305
O 1.463 0.237 6.517
O 0.000 1.863 4.503
O 0.000 5.589 1.599
O -1.463 3.963 3.906
O 1.463 3.963 3.906
```

Results
formation energy without anion corrections: -3.667 eV/atom
symmetry: Imma, No. 74

***

Record 9
Ce2CN3Cl: single point on PBEsol structure, meta-GGA SCAN.

Geometry as extended XYZ:
```
14
Lattice="4.586 -6.599 0.000 4.586 6.599 0.000 0.000 0.000 3.815" Properties=species:S:1:pos:R:3 pbc="T T T"
Ce 4.586 4.845 0.000
Ce 2.702 0.000 1.908
Ce 6.469 0.000 1.908
Ce 4.586 -4.845 0.000
C 2.293 3.299 1.908
C 2.293 -3.299 1.908
N 1.593 2.283 1.908
N 1.446 0.000 0.000
N 1.593 -2.283 1.908
N 7.578 2.283 1.908
N 7.725 0.000 0.000
N 7.578 -2.283 1.908
Cl 4.586 1.623 0.000
Cl 4.586 -1.623 0.000
```

Results
formation energy without anion corrections: -1.524 eV/atom
symmetry: Cmmm, No. 65

***

Record 10
SrCrCu: single point on PBEsol structure, meta-GGA SCAN.

Geometry as extended XYZ:
```
3
Lattice="4.369 0.000 0.000 -2.185 3.784 0.000 0.000 0.000 4.349" Properties=species:S:1:pos:R:3 pbc="T T T"
Sr 0.000 0.000 0.000
Cr 2.185 1.261 2.174
Cu 0.000 2.523 2.174
```

Results
symmetry: P-6m2, No. 187
ΔE_f: 0.2904 eV per atom

***

Record 11
IrSCl3: single point on PBEsol structure, meta-GGA SCAN.

Geometry as extended XYZ:
```
5
Lattice="4.694 0.000 0.000 0.000 4.694 0.000 0.000 0.000 4.694" Properties=species:S:1:pos:R:3 pbc="T T T"
Ir 0.000 0.000 0.000
S 2.347 2.347 2.347
Cl 0.000 0.000 2.347
Cl 0.000 2.347 0.000
Cl 2.347 0.000 0.000
```

Results
formation energy without anion corrections: 0.468 eV/atom
symmetry: Pm-3m, No. 221

***

Record 12
ZnCd2Ni: single point on PBEsol structure, meta-GGA SCAN.

Geometry as extended XYZ:
```
4
Lattice="3.043 0.000 0.000 0.000 3.043 0.000 0.000 0.000 6.840" Properties=species:S:1:pos:R:3 pbc="T T T"
Zn 0.000 0.000 0.000
Cd 0.000 0.000 4.027
Cd 1.522 1.522 1.857
Ni 1.522 1.522 5.711
```

Results
symmetry: P4mm, No. 99
ΔE_f: -0.0060 eV per atom

***

Record 13
BaCoAu2: single point on PBEsol structure, meta-GGA SCAN.

Geometry as extended XYZ:
```
4
Lattice="2.213 1.278 5.564 -2.213 1.278 5.564 0.000 -2.556 5.564" Properties=species:S:1:pos:R:3 pbc="T T T"
Ba 0.000 0.000 0.000
Co 0.000 0.000 8.346
Au 0.000 0.000 3.300
Au 0.000 0.000 13.391
```

Results
symmetry: R-3m, No. 166
ΔE_f: -0.4148 eV per atom

***

Record 14
CaMgGe: single point on PBEsol structure, meta-GGA SCAN.

Geometry as extended XYZ:
```
12
Lattice="7.429 0.000 0.000 0.000 4.416 0.000 0.000 0.000 8.315" Properties=species:S:1:pos:R:3 pbc="T T T"
Ca 0.151 1.104 1.500
Ca 3.564 3.312 5.657
Ca 3.865 1.104 2.658
Ca 7.278 3.312 6.815
Mg 1.069 1.104 4.678
Mg 2.645 3.312 0.521
Mg 4.784 1.104 7.794
Mg 6.360 3.312 3.637
Ge 1.730 3.312 3.189
Ge 1.985 1.104 7.346
Ge 5.444 3.312 0.969
Ge 5.699 1.104 5.126
```

Results
symmetry: Pnma, No. 62
ΔE_f: -0.6192 eV per atom

***

Record 15
Tl2P2I: single point on PBEsol structure, meta-GGA SCAN.

Geometry as extended XYZ:
```
5
Lattice="-1.746 1.746 10.402 1.746 -1.746 10.402 1.746 1.746 -10.402" Properties=species:S:1:pos:R:3 pbc="T T T"
Tl 0.000 0.000 2.511
Tl 0.000 0.000 18.294
P 1.746 0.000 5.201
P 0.000 1.746 5.201
I 0.000 0.000 10.402
```

Results
formation energy without anion corrections: 0.073 eV/atom
symmetry: I4/mmm, No. 139

***

Record 16
ScTc2Os: single point on PBEsol structure, meta-GGA SCAN.

Geometry as extended XYZ:
```
4
Lattice="3.052 0.000 0.000 0.000 4.375 0.000 0.000 0.000 4.463" Properties=species:S:1:pos:R:3 pbc="T T T"
Sc 0.000 0.000 0.000
Tc 0.000 2.187 2.232
Tc 1.526 0.000 2.232
Os 1.526 2.187 0.000
```

Results
symmetry: Pmmm, No. 47
ΔE_f: -0.1481 eV per atom

***

Record 17
BaLi2MnV2O8: single point on PBEsol structure, meta-GGA SCAN.

Geometry as extended XYZ:
```
14
Lattice="5.231 0.000 0.000 -2.615 4.530 0.000 0.000 0.000 7.160" Properties=species:S:1:pos:R:3 pbc="T T T"
Ba 0.000 0.000 0.000
Li 0.000 3.020 1.914
Li 2.615 1.510 5.246
Mn 0.000 0.000 3.580
V 0.000 3.020 5.372
V 2.615 1.510 1.787
O -0.685 1.513 4.863
O -0.963 4.367 4.863
O 0.000 3.020 7.071
O 0.968 1.350 2.296
O 1.648 3.180 4.863
O 2.615 1.510 0.088
O 3.578 0.163 2.296
O 3.301 3.017 2.296
```

Results
formation energy without anion corrections: -2.713 eV/atom
symmetry: P-3, No. 147

***

Record 18
FeGe2WO: single point on PBEsol structure, meta-GGA SCAN.

Geometry as extended XYZ:
```
5
Lattice="4.268 0.000 0.000 0.000 4.268 0.000 0.000 0.000 4.512" Properties=species:S:1:pos:R:3 pbc="T T T"
Fe 0.000 0.000 0.000
Ge 0.000 2.134 0.000
Ge 2.134 0.000 0.000
W 0.000 0.000 2.256
O 2.134 2.134 2.256
```

Results
formation energy without anion corrections: 1.038 eV/atom
symmetry: P4/mmm, No. 123

***

Record 19
CsZr2TlP: single point on PBEsol structure, meta-GGA SCAN.

Geometry as extended XYZ:
```
5
Lattice="5.264 0.000 0.000 0.000 5.264 0.000 0.000 0.000 5.212" Properties=species:S:1:pos:R:3 pbc="T T T"
Cs 0.000 0.000 0.000
Zr 0.000 2.632 0.000
Zr 2.632 0.000 0.000
Tl 2.632 2.632 2.606
P 0.000 0.000 2.606
```

Results
symmetry: P4/mmm, No. 123
ΔE_f: 2.0457 eV per atom

***

Record 20
ScCu2Pb: single point on PBEsol structure, meta-GGA SCAN.

Geometry as extended XYZ:
```
4
Lattice="3.201 0.000 0.000 0.000 3.201 0.000 0.000 0.000 6.895" Properties=species:S:1:pos:R:3 pbc="T T T"
Sc 0.000 0.000 0.000
Cu 0.000 0.000 4.158
Cu 1.601 1.601 5.275
Pb 1.601 1.601 2.309
```

Results
symmetry: P4mm, No. 99
ΔE_f: -0.0629 eV per atom

***

Record 21
CuReHg2: single point on PBEsol structure, meta-GGA SCAN.

Geometry as extended XYZ:
```
4
Lattice="-1.406 2.417 4.919 1.406 -2.417 4.919 1.406 2.417 -4.919" Properties=species:S:1:pos:R:3 pbc="T T T"
Cu 0.000 0.000 0.000
Re 0.000 2.417 2.774
Hg 1.406 0.000 2.433
Hg 0.000 0.000 5.132
```

Results
symmetry: Imm2, No. 44
ΔE_f: 0.7177 eV per atom

***

Record 22
TlCdAu: single point on PBEsol structure, meta-GGA SCAN.

Geometry as extended XYZ:
```
3
Lattice="-1.652 1.652 5.995 1.652 -1.652 5.995 1.652 1.652 -5.995" Properties=species:S:1:pos:R:3 pbc="T T T"
Tl 0.000 0.000 0.000
Cd 0.000 0.000 8.356
Au 0.000 0.000 3.977
```

Results
symmetry: I4mm, No. 107
ΔE_f: -0.0332 eV per atom

***

Record 23
Pr3CuSnS7: single point on PBEsol structure, meta-GGA SCAN.

Geometry as extended XYZ:
```
24
Lattice="10.138 0.000 0.000 -5.069 8.780 0.000 0.000 0.000 5.937" Properties=species:S:1:pos:R:3 pbc="T T T"
Pr -2.584 6.824 0.000
Pr 0.451 3.129 0.000
Pr 2.936 1.174 2.969
Pr 2.133 7.606 0.000
Pr 4.617 5.650 2.969
Pr 7.653 1.956 2.969
Cu 0.000 0.000 2.779
Cu 0.000 0.000 5.747
Sn 0.000 5.853 3.414
Sn 5.069 2.927 0.445
S -1.719 4.507 4.426
S -3.298 7.405 2.842
S 0.305 2.221 2.842
S 2.076 0.846 5.810
S 0.000 5.853 1.063
S -0.306 8.015 4.426
S 2.025 5.037 4.426
S 3.044 3.742 1.458
S 5.375 0.765 1.458
S 5.069 2.927 4.032
S 2.993 7.933 2.842
S 4.764 6.559 5.810
S 8.367 1.375 5.810
S 6.788 4.272 1.458
```

Results
formation energy without anion corrections: -1.668 eV/atom
symmetry: P6_3, No. 173

***

Record 24
ScHg3Mo: single point on PBEsol structure, meta-GGA SCAN.

Geometry as extended XYZ:
```
5
Lattice="5.261 0.000 0.000 0.000 5.261 0.000 0.000 0.000 5.261" Properties=species:S:1:pos:R:3 pbc="T T T"
Sc 0.000 0.000 0.000
Hg 0.000 0.000 2.631
Hg 0.000 2.631 0.000
Hg 2.631 0.000 0.000
Mo 2.631 2.631 2.631
```

Results
symmetry: Pm-3m, No. 221
ΔE_f: 1.0655 eV per atom

***

Record 25
BeCO2: single point on PBEsol structure, meta-GGA SCAN.

Geometry as extended XYZ:
```
4
Lattice="1.180 0.681 6.239 -1.180 0.681 6.239 0.000 -1.363 6.239" Properties=species:S:1:pos:R:3 pbc="T T T"
Be 0.000 0.000 0.000
C 0.000 0.000 9.358
O 0.000 0.000 2.228
O 0.000 0.000 16.488
```

Results
formation energy without anion corrections: 0.580 eV/atom
symmetry: R-3m, No. 166